Record 1
# ScBe2Os2 | Alexandria | PBE | relaxed
# total moment	0.00	μB/cell
# polymorph energy (0 for the lowest one)	307	meV/atom
# calculated volume	14.32	A^3/atom
data_ScBe2Os2
_cell_length_a 4.069
_cell_length_b 4.069
_cell_length_c 5.194
_cell_angle_alpha 66.94
_cell_angle_beta 66.94
_cell_angle_gamma 90.00
_symmetry_space_group_name_H-M 'P 1'
_symmetry_Int_Tables_number 1
loop_
_symmetry_equiv_pos_as_xyz
'x,y,z'
loop_
_atom_site_label
_atom_site_type_symbol
_atom_site_fract_x
_atom_site_fract_y
_atom_site_fract_z
Os1 Os 0.363 0.363 0.274
Os2 Os 0.637 0.637 0.726
Sc1 Sc 0.000 0.000 0.000
Be1 Be 0.750 0.250 0.500
Be2 Be 0.250 0.750 0.500

Record 2
# ScBe2Os | Alexandria | PBE | relaxed
# total moment	0.00	μB/cell
# polymorph energy (0 for the lowest one)	369	meV/atom
# calculated volume	13.41	A^3/atom
data_ScBe2Os
_cell_length_a 4.233
_cell_length_b 4.233
_cell_length_c 4.233
_cell_angle_alpha 60.00
_cell_angle_beta 60.00
_cell_angle_gamma 60.00
_symmetry_space_group_name_H-M 'P 1'
_symmetry_Int_Tables_number 1
loop_
_symmetry_equiv_pos_as_xyz
'x,y,z'
loop_
_atom_site_label
_atom_site_type_symbol
_atom_site_fract_x
_atom_site_fract_y
_atom_site_fract_z
Be1 Be 0.000 0.000 0.000
Be2 Be 0.250 0.250 0.250
Sc1 Sc 0.750 0.750 0.750
Os1 Os 0.500 0.500 0.500

Record 3
# ScBe2Os | Alexandria | PBE | relaxed
# total moment	0.00	μB/cell
# polymorph energy (0 for the lowest one)	14	meV/atom
# calculated volume	12.92	A^3/atom
data_ScBe2Os
_cell_length_a 3.044
_cell_length_b 3.044
_cell_length_c 5.577
_cell_angle_alpha 90.00
_cell_angle_beta 90.00
_cell_angle_gamma 90.00
_symmetry_space_group_name_H-M 'P 1'
_symmetry_Int_Tables_number 1
loop_
_symmetry_equiv_pos_as_xyz
'x,y,z'
loop_
_atom_site_label
_atom_site_type_symbol
_atom_site_fract_x
_atom_site_fract_y
_atom_site_fract_z
Os1 Os 0.500 0.500 0.250
Be1 Be 0.000 0.000 0.440
Be2 Be 0.000 0.000 0.060
Sc1 Sc 0.500 0.500 0.750

Record 4
# ScBe2Os2 | Alexandria | PBE | relaxed
# total moment	1.58	μB/cell
# polymorph energy (0 for the lowest one)	0	meV/atom
# calculated volume	12.49	A^3/atom
data_ScBe2Os2
_cell_length_a 6.347
_cell_length_b 6.347
_cell_length_c 3.101
_cell_angle_alpha 90.00
_cell_angle_beta 90.00
_cell_angle_gamma 90.00
_symmetry_space_group_name_H-M 'P 1'
_symmetry_Int_Tables_number 1
loop_
_symmetry_equiv_pos_as_xyz
'x,y,z'
loop_
_atom_site_label
_atom_site_type_symbol
_atom_site_fract_x
_atom_site_fract_y
_atom_site_fract_z
Os1 Os 0.333 0.167 0.500
Os2 Os 0.833 0.333 0.500
Os3 Os 0.667 0.833 0.500
Os4 Os 0.167 0.667 0.500
Be1 Be 0.882 0.618 0.000
Be2 Be 0.618 0.118 0.000
Be3 Be 0.118 0.382 0.000
Be4 Be 0.382 0.882 0.000
Sc1 Sc 0.500 0.500 0.000
Sc2 Sc 0.000 0.000 0.000

Record 5
# ScBeOs3 | Alexandria | PBE | relaxed
# total moment	1.20	μB/cell
# polymorph energy (0 for the lowest one)	2284	meV/atom
# calculated volume	19.56	A^3/atom
data_ScBeOs3
_cell_length_a 4.607
_cell_length_b 4.607
_cell_length_c 4.607
_cell_angle_alpha 90.00
_cell_angle_beta 90.00
_cell_angle_gamma 90.00
_symmetry_space_group_name_H-M 'P 1'
_symmetry_Int_Tables_number 1
loop_
_symmetry_equiv_pos_as_xyz
'x,y,z'
loop_
_atom_site_label
_atom_site_type_symbol
_atom_site_fract_x
_atom_site_fract_y
_atom_site_fract_z
Os1 Os 0.000 0.500 0.000
Os2 Os 0.500 0.000 0.000
Os3 Os 0.000 0.000 0.500
Be1 Be 0.500 0.500 0.500
Sc1 Sc 0.000 0.000 0.000

Record 6
# ScBe2Os2 | Alexandria | PBE | relaxed
# total moment	0.70	μB/cell
# polymorph energy (0 for the lowest one)	307	meV/atom
# calculated volume	13.29	A^3/atom
data_ScBe2Os2
_cell_length_a 7.161
_cell_length_b 7.161
_cell_length_c 2.592
_cell_angle_alpha 90.00
_cell_angle_beta 90.00
_cell_angle_gamma 90.00
_symmetry_space_group_name_H-M 'P 1'
_symmetry_Int_Tables_number 1
loop_
_symmetry_equiv_pos_as_xyz
'x,y,z'
loop_
_atom_site_label
_atom_site_type_symbol
_atom_site_fract_x
_atom_site_fract_y
_atom_site_fract_z
Be1 Be 0.656 0.844 0.500
Be2 Be 0.344 0.156 0.500
Be3 Be 0.156 0.656 0.500
Be4 Be 0.844 0.344 0.500
Os1 Os 0.860 0.640 0.000
Os2 Os 0.140 0.360 0.000
Os3 Os 0.360 0.860 0.000
Os4 Os 0.640 0.140 0.000
Sc1 Sc 0.000 0.000 0.000
Sc2 Sc 0.500 0.500 0.000

Record 7
# Sc3Be8Os | Alexandria | PBE | relaxed
# total moment	0.00	μB/cell
# calculated volume	11.76	A^3/atom
# VASP energy	-5.201	eV/atom
data_Sc3Be8Os
_cell_length_a 4.622
_cell_length_b 4.622
_cell_length_c 8.082
_cell_angle_alpha 73.38
_cell_angle_beta 73.38
_cell_angle_gamma 60.00
_symmetry_space_group_name_H-M 'P 1'
_symmetry_Int_Tables_number 1
loop_
_symmetry_equiv_pos_as_xyz
'x,y,z'
loop_
_atom_site_label
_atom_site_type_symbol
_atom_site_fract_x
_atom_site_fract_y
_atom_site_fract_z
Sc1 Sc 0.377 0.377 0.868
Sc2 Sc 0.995 0.995 0.014
Sc3 Sc 0.501 0.501 0.498
Be1 Be 0.934 0.432 0.202
Be2 Be 0.936 0.936 0.673
Be3 Be 0.432 0.934 0.202
Be4 Be 0.454 0.936 0.673
Be5 Be 0.432 0.432 0.202
Be6 Be 0.689 0.689 0.934
Be7 Be 0.187 0.187 0.439
Be8 Be 0.936 0.454 0.673
Os1 Os 0.876 0.876 0.373

Record 8
# ScBeOs3 | Alexandria | PBE | relaxed
# total moment	0.55	μB/cell
# polymorph energy (0 for the lowest one)	0	meV/atom
# calculated volume	14.67	A^3/atom
data_ScBeOs3
_cell_length_a 4.186
_cell_length_b 4.186
_cell_length_c 4.186
_cell_angle_alpha 90.00
_cell_angle_beta 90.00
_cell_angle_gamma 90.00
_symmetry_space_group_name_H-M 'P 1'
_symmetry_Int_Tables_number 1
loop_
_symmetry_equiv_pos_as_xyz
'x,y,z'
loop_
_atom_site_label
_atom_site_type_symbol
_atom_site_fract_x
_atom_site_fract_y
_atom_site_fract_z
Os1 Os 0.000 0.500 0.000
Os2 Os 0.000 0.000 0.500
Os3 Os 0.500 0.000 0.000
Sc1 Sc 0.500 0.500 0.500
Be1 Be 0.000 0.000 0.000